(1)
Density functional theory data (GGA-PBE) for a geometry-optimized Ac2BiRh structure.

Unit cell a=4.597 b=4.597 c=8.006 alpha=73.32 beta=73.32 gamma=60.00
Fractional positions:
Ac (0.071, 0.071, 0.787)
Ac (0.264, 0.264, 0.209)
Bi (0.502, 0.502, 0.495)
Rh (0.664, 0.664, 0.009)

Summary:
energy of formation from the pure elements = -0.659 eV/atom
VASP energy = -5.522 eV/atom
energy relative to the lowest polymorph listed for this composition = 0.072 eV/atom
size of the total moment = 0.000 μB/atom

(2)
Density functional theory data (GGA-PBE) for a geometry-optimized Th4HgGeSe2 structure.

Unit cell a=4.307 b=7.316 c=7.605 alpha=70.42 beta=90.00 gamma=90.00
Fractional positions:
Th (0.000, 0.747, 0.760)
Th (0.000, 0.253, 0.240)
Th (0.500, 0.756, 0.237)
Th (0.500, 0.244, 0.763)
Hg (0.000, 0.500, 0.500)
Ge (0.500, 0.500, 0.000)
Se (0.000, 0.000, 0.000)
Se (0.500, 0.000, 0.500)

Summary:
VASP energy = -6.187 eV/atom
formation energy without anion corrections = -0.99 eV/atom
size of the total moment = 0.000 μB/atom

Copy entry 2 word for word.
Density functional theory data (GGA-PBE) for a geometry-optimized Th4HgGeSe2 structure.

Unit cell a=4.307 b=7.316 c=7.605 alpha=70.42 beta=90.00 gamma=90.00
Fractional positions:
Th (0.000, 0.747, 0.760)
Th (0.000, 0.253, 0.240)
Th (0.500, 0.756, 0.237)
Th (0.500, 0.244, 0.763)
Hg (0.000, 0.500, 0.500)
Ge (0.500, 0.500, 0.000)
Se (0.000, 0.000, 0.000)
Se (0.500, 0.000, 0.500)

Summary:
VASP energy = -6.187 eV/atom
formation energy without anion corrections = -0.99 eV/atom
size of the total moment = 0.000 μB/atom

VASP energy of number 2 (Th4HgGeSe2)? -6.187 eV/atom

Copy entry 1 word for word.
Density functional theory data (GGA-PBE) for a geometry-optimized Ac2BiRh structure.

Unit cell a=4.597 b=4.597 c=8.006 alpha=73.32 beta=73.32 gamma=60.00
Fractional positions:
Ac (0.071, 0.071, 0.787)
Ac (0.264, 0.264, 0.209)
Bi (0.502, 0.502, 0.495)
Rh (0.664, 0.664, 0.009)

Summary:
energy of formation from the pure elements = -0.659 eV/atom
VASP energy = -5.522 eV/atom
energy relative to the lowest polymorph listed for this composition = 0.072 eV/atom
size of the total moment = 0.000 μB/atom